(1)
Crystalline CaPmEr4S8 at its relaxed geometry, computed with GGA-PBE.

The structure belongs to space group R3m (No. 160, hexagonal axes); the cell edges are 8.0438, 8.0438 and 19.9401 Å and the angles 90.00°, 90.00° and 120.00°. The inequivalent atoms are Ca at (0.0000, 0.0000, 0.0000), Pm at (0.0000, 0.0000, 0.3722), Er at (0.0000, 0.0000, 0.7486), Er at (0.0051, 0.5026, 0.8747), S at (0.0000, 0.0000, 0.1353), S at (0.0000, 0.0000, 0.6159), S at (0.0147, 0.5073, 0.1294) and S at (0.1783, 0.3566, 0.9505).

Its crystal system is trigonal. The calculation puts the volume at 1117 Å³/cell. Its density of states at the Fermi level is 0.229 states/eV/atom. The value obtained for the energy relative to the elements, uncorrected is -1.99 eV/atom. For the calculated total energy, the calculation gives -257.7 eV/cell. The value obtained for the total moment is 0.0 μB/f.u.

(2)
Crystalline CeU2MnC4 at its relaxed geometry, computed with GGA-PBE.

The structure belongs to space group Cmcm (No. 63); the cell edges are 3.5189, 11.3005 and 11.6013 Å and the angles 90.00°, 90.00° and 90.00°. The inequivalent atoms are Ce at (0.0000, 0.1006, 0.2500), U at (0.0000, 0.3690, 0.0502), Mn at (0.0000, 0.1583, 0.7500), C at (0.0000, 0.0000, 0.0000), C at (0.0000, 0.2582, 0.6222) and C at (0.0000, 0.4284, 0.2500).

Its crystal system is orthorhombic. The calculation puts the volume at 461 Å³/cell. Its density of states at the Fermi level is 1.233 states/eV/atom. The value obtained for the energy of formation is -113.9 meV per atom. For the calculated total energy, the calculation gives -301.9 eV/cell. The value obtained for the total moment is 0.0 μB/f.u.

(3)
Crystalline SrZn4Ir at its relaxed geometry, computed with GGA-PBE.

The structure belongs to space group F-43m (No. 216); the cell edges are 7.4280, 7.4280 and 7.4280 Å and the angles 90.00°, 90.00° and 90.00°. The inequivalent atoms are Sr at (0.0000, 0.0000, 0.0000), Zn at (0.1232, 0.1232, 0.6232) and Ir at (0.2500, 0.2500, 0.2500).

Its crystal system is cubic. The calculation puts the volume at 410 Å³/cell. Its density of states at the Fermi level is 0.825 states/eV/atom. The value obtained for the energy of formation is -93.6 meV per atom. For the calculated total energy, the calculation gives -64.8 eV/cell. The value obtained for the total moment is 0.0 μB/f.u.

(4)
Crystalline CrCoS2 at its relaxed geometry, computed with GGA-PBE.

The structure belongs to space group R-3m (No. 166, hexagonal axes); the cell edges are 3.3226, 3.3226 and 20.8830 Å and the angles 90.00°, 90.00° and 120.00°. The inequivalent atoms are Cr at (0.0000, 0.0000, 0.0000), Co at (0.0000, 0.0000, 0.5000) and S at (0.0000, 0.0000, 0.1109).

Its crystal system is trigonal. The calculation puts the volume at 200 Å³/cell. Its density of states at the Fermi level is 0.450 states/eV/atom. The value obtained for the energy relative to the elements, uncorrected is -0.06 eV/atom. For the calculated total energy, the calculation gives -75.7 eV/cell. The value obtained for the total moment is 4.1 μB/f.u.

(5)
Crystalline UBi2Au at its relaxed geometry, computed with GGA-PBE.

The structure belongs to space group P4/mmm (No. 123); the cell edges are 4.9213, 4.9213 and 4.2143 Å and the angles 90.00°, 90.00° and 90.00°. The inequivalent atoms are U at (0.0000, 0.0000, 0.0000), Bi at (0.0000, 0.5000, 0.5000) and Au at (0.5000, 0.5000, 0.0000).

Its crystal system is tetragonal. The calculation puts the volume at 102 Å³/cell. Its density of states at the Fermi level is 1.840 states/eV/atom. The value obtained for the energy of formation is -67.7 meV per atom. For the calculated total energy, the calculation gives -22.6 eV/cell. The value obtained for the total moment is 2.2 μB/f.u.